No. 1
This record from Alexandria describes an optimized crystal structure of CdTeAs2. The functional is PBE-GGA.

**DFT total energy**: -47.4 eV for the cell shown
**Crystal system**: cubic
**E_form (uncorrected)**: 377 meV/atom
**Distance to the lowest polymorph of the same formula**: 0.433 eV per atom

Structure (CIF):
```
data_CdTeAs2
_chemical_formula_sum 'Cd4 Te4 As8'
_cell_length_a 7.1189
_cell_length_b 7.1189
_cell_length_c 7.1189
_cell_angle_alpha 90.00
_cell_angle_beta 90.00
_cell_angle_gamma 90.00
_space_group_name_H-M_alt 'F m -3 m'
_space_group_IT_number 225
_space_group_name_Hall '-F 4 2 3'
loop_
_atom_site_label
_atom_site_fract_x
_atom_site_fract_y
_atom_site_fract_z
Cd1 0.0000 0.0000 0.0000
Te1 0.0000 0.0000 0.5000
As1 0.2500 0.2500 0.2500
```

=====

No. 2
This record from Alexandria describes an optimized crystal structure of NdPu2ThN4. The functional is PBE-GGA.

**DFT total energy**: -85.1 eV for the cell shown
**Crystal system**: monoclinic
**E_form (uncorrected)**: -1366 meV/atom

Structure (CIF):
```
data_NdPu2ThN4
_chemical_formula_sum 'Nd1 Pu2 Th1 N4'
_cell_length_a 6.1568
_cell_length_b 3.5770
_cell_length_c 6.1908
_cell_angle_alpha 90.00
_cell_angle_beta 109.60
_cell_angle_gamma 90.00
_space_group_name_H-M_alt 'P 1 2/m 1'
_space_group_IT_number 10
loop_
_space_group_symop_operation_xyz
'x,y,z'
'-x,-y,-z'
'-x,y,-z'
'x,-y,z'
loop_
_atom_site_label
_atom_site_fract_x
_atom_site_fract_y
_atom_site_fract_z
Nd1 0.0000 0.0000 0.0000
Pu1 0.5000 0.0000 0.5000
Pu2 0.5000 0.5000 0.0000
Th1 0.0000 0.5000 0.5000
N1 0.2642 0.0000 0.7496
N2 0.2716 0.5000 0.2632
```

=====

No. 3
This record from Alexandria describes an optimized crystal structure of PmEr2TmSe6. The functional is PBE-GGA.

**DFT total energy**: -173.0 eV for the cell shown
**Crystal system**: trigonal
**E_form (uncorrected)**: -1840 meV/atom

Structure (CIF):
```
data_PmEr2TmSe6
_chemical_formula_sum 'Pm3 Er6 Tm3 Se18'
_cell_length_a 7.2037
_cell_length_b 7.2037
_cell_length_c 19.3961
_cell_angle_alpha 90.00
_cell_angle_beta 90.00
_cell_angle_gamma 120.00
_space_group_name_H-M_alt 'R 3'
_space_group_IT_number 146
_space_group_name_Hall 'R 3'
loop_
_atom_site_label
_atom_site_fract_x
_atom_site_fract_y
_atom_site_fract_z
Pm1 0.0000 0.0000 0.0000
Er1 0.0000 0.0000 0.2995
Er2 0.0000 0.0000 0.8025
Tm1 0.0000 0.0000 0.4954
Se1 0.0015 0.3102 0.8966
Se2 0.0163 0.7089 0.3978
```